DFT (PBE) results for crystalline Ba2Na3NpS6 at its relaxed geometry.

The space group is C2/m (No. 12) and the conventional cell measures 7.522, 13.294 and 7.079 Å, with angles of 90.00, 110.01 and 90.00 degrees. Symmetry generates all atoms from Ba at (0.000, 0.170, 0.000), Na at (0.000, 0.000, 0.500), Na at (0.000, 0.357, 0.500), Np at (0.000, 0.500, 0.000), S at (0.217, 0.359, 0.237) and S at (0.221, 0.500, 0.780).

The value obtained for the formation energy (no corrections) is -1.474 eV/atom. For the calculated volume, the calculation gives 665.1 Å³ per cell. The total energy is -5.267 eV per atom.